A relaxed structure of Pm2Dy3In2. Source: Alexandria, functional GGA-PBE.

Results
- volume (Å³/atom) = 29.05
- M_tot (μB per formula unit) = 0.3
- ΔH_f (0 K) (eV per atom) = -0.1548

Unit cell a=12.6336 b=12.6336 c=3.4710 alpha=90.00 beta=90.00 gamma=158.46
Sites, in units of the cell vectors:
Pm 0.2108 0.7892 0.0000
Pm 0.7892 0.2108 0.0000
Dy 0.3644 0.6356 0.5000
Dy 0.5000 0.5000 0.5000
Dy 0.6356 0.3644 0.5000
In 0.0701 0.9299 0.0000
In 0.9299 0.0701 0.0000

A relaxed structure of PmTm5S6. Source: Alexandria, functional GGA-PBE.

Results
- volume (Å³/atom) = 20.55
- M_tot (μB per formula unit) = 0.0
- E_form (uncorrected) (eV/atom) = -1.95

Unit cell a=6.7155 b=6.7155 c=6.7118 alpha=99.57 beta=99.57 gamma=120.22
Sites, in units of the cell vectors:
Pm 0.0000 0.0000 0.0000
Tm 0.1610 0.8390 0.5000
Tm 0.3345 0.6655 0.0000
Tm 0.5000 0.5000 0.5000
Tm 0.6655 0.3345 0.0000
Tm 0.8390 0.1610 0.5000
S 0.0854 0.4301 0.2569
S 0.2595 0.2595 0.7469
S 0.4301 0.0854 0.2569
S 0.5699 0.9146 0.7431
S 0.7405 0.7405 0.2531
S 0.9146 0.5699 0.7431

A relaxed structure of NaDy2Th3Se6. Source: Alexandria, functional GGA-PBE.

Results
- volume (Å³/atom) = 25.29
- M_tot (μB per formula unit) = 0.0
- E_form (uncorrected) (eV/atom) = -1.59

Unit cell a=9.4640 b=9.4640 c=8.5650 alpha=107.81 beta=107.81 gamma=24.62
Sites, in units of the cell vectors:
Na 0.0000 0.0000 0.0000
Dy 0.3320 0.3320 0.6647
Dy 0.6680 0.6680 0.3353
Th 0.0000 0.0000 0.5000
Th 0.3331 0.3331 0.1669
Th 0.6669 0.6669 0.8331
Se 0.1621 0.1621 0.0910
Se 0.1693 0.1693 0.5742
Se 0.4961 0.4961 0.7563
Se 0.5039 0.5039 0.2437
Se 0.8307 0.8307 0.4258
Se 0.8379 0.8379 0.9090

A relaxed structure of Be2HgPt. Source: Alexandria, functional GGA-PBE.

Results
- volume (Å³/atom) = 14.63
- M_tot (μB per formula unit) = 0.0
- ΔH_f (0 K) (eV per atom) = -0.1012

Unit cell a=2.8233 b=3.6891 c=5.6175 alpha=90.00 beta=90.16 gamma=90.00
Sites, in units of the cell vectors:
Be 0.0000 0.0000 0.0000
Be 0.0014 0.5000 0.2938
Hg 0.5033 0.0000 0.5293
Pt 0.4998 0.5000 0.9663